VASP calculation (GGA-PBE) on a relaxed structure of Pm2Pr5Ho.

Unit cell a=5.2006 b=7.3345 c=14.7097 alpha=90.00 beta=90.00 gamma=90.00
Atoms (fractional coordinates):
1 Pr 0.5000 0.2519 0.8763
2 Pr 0.5000 0.2481 0.3763
3 Pm 0.5000 0.2500 0.6236
4 Pr 0.0000 0.5010 0.7518
5 Pm 0.5000 0.7500 0.8764
6 Pm 0.5000 0.2500 0.1236
7 Pr 0.0000 0.0000 0.0000
8 Pr 0.0000 0.5000 0.5000
9 Pr 0.5000 0.7519 0.6237
10 Pr 0.0000 0.4990 0.2482
11 Pm 0.5000 0.7500 0.3764
12 Ho 0.0000 0.5000 0.0000
13 Pr 0.0000 0.9990 0.2518
14 Pr 0.0000 0.0010 0.7482
15 Pr 0.5000 0.7481 0.1237
16 Ho 0.0000 0.0000 0.5000

Computed properties:
Energy of formation from the pure elements (eV per atom): 0.015
Total DFT energy (no corrections) (eV/atom): -4.732
Magnetic moment (μB/f.u.): 0.0
Energy above the lowest structure with this stoichiometry (meV/atom): 0